# Al2FeAgOs, relaxed, DFT GGA-PBE
# E_form	1.003	eV/atom
data_Al2FeAgOs
_space_group_name_H-M_alt 'P 4/m m m'
_space_group_IT_number 123
_space_group_name_Hall '-P 4 2'
_cell_length_a 4.621
_cell_length_b 4.621
_cell_length_c 5.151
_cell_angle_alpha 90.00
_cell_angle_beta 90.00
_cell_angle_gamma 90.00
loop_
_atom_site_label
_atom_site_type_symbol
_atom_site_fract_x
_atom_site_fract_y
_atom_site_fract_z
_atom_site_occupancy
Al1 Al 0.000 0.500 0.000 1
Fe1 Fe 0.000 0.000 0.500 1
Ag1 Ag 0.500 0.500 0.500 1
Os1 Os 0.500 0.500 0.000 1

=====

# Y2TaPd2, relaxed, DFT GGA-PBE
# E_form	-0.049	eV/atom
data_Y2TaPd2
_space_group_name_H-M_alt 'P 4/m b m'
_space_group_IT_number 127
_space_group_name_Hall '-P 4 2ab'
_cell_length_a 8.225
_cell_length_b 8.225
_cell_length_c 3.198
_cell_angle_alpha 90.00
_cell_angle_beta 90.00
_cell_angle_gamma 90.00
loop_
_atom_site_label
_atom_site_type_symbol
_atom_site_fract_x
_atom_site_fract_y
_atom_site_fract_z
_atom_site_occupancy
Y1 Y 0.155 0.345 0.000 1
Ta1 Ta 0.000 0.000 0.000 1
Pd1 Pd 0.144 0.644 0.500 1

=====

# TiRePS2, relaxed, DFT GGA-PBE
# formation energy without anion corrections	0.488	eV/atom
data_TiRePS2
_space_group_name_H-M_alt 'P 4/m m m'
_space_group_IT_number 123
_space_group_name_Hall '-P 4 2'
_cell_length_a 4.646
_cell_length_b 4.646
_cell_length_c 4.635
_cell_angle_alpha 90.00
_cell_angle_beta 90.00
_cell_angle_gamma 90.00
loop_
_atom_site_label
_atom_site_type_symbol
_atom_site_fract_x
_atom_site_fract_y
_atom_site_fract_z
_atom_site_occupancy
Ti1 Ti 0.000 0.000 0.000 1
Re1 Re 0.500 0.500 0.500 1
P1 P 0.500 0.500 0.000 1
S1 S 0.000 0.500 0.500 1

=====

# Rb3HfBr7, relaxed, DFT GGA-PBE
# formation energy without anion corrections	-1.538	eV/atom
data_Rb3HfBr7
_space_group_name_H-M_alt 'C 1 m 1'
_space_group_IT_number 8
_cell_length_a 11.454
_cell_length_b 10.868
_cell_length_c 8.618
_cell_angle_alpha 90.00
_cell_angle_beta 126.06
_cell_angle_gamma 90.00
loop_
_space_group_symop_operation_xyz
'x,y,z'
'x,-y,z'
'x+1/2,y+1/2,z'
'x+1/2,-y+1/2,z'
loop_
_atom_site_label
_atom_site_type_symbol
_atom_site_fract_x
_atom_site_fract_y
_atom_site_fract_z
_atom_site_occupancy
Rb1 Rb 0.000 0.000 0.000 1
Rb2 Rb 0.006 0.267 0.577 1
Hf1 Hf 0.049 0.500 0.131 1
Br1 Br 0.120 0.262 0.272 1
Br2 Br 0.205 0.500 0.000 1
Br3 Br 0.324 0.500 0.512 1
Br4 Br 0.359 0.153 0.829 1
Br5 Br 0.379 0.000 0.243 1

=====

# Pu2Cu2Pd, relaxed, DFT GGA-PBE
# E_form	-0.149	eV/atom
data_Pu2Cu2Pd
_space_group_name_H-M_alt 'I m m m'
_space_group_IT_number 71
_space_group_name_Hall '-I 2 2'
_cell_length_a 4.547
_cell_length_b 5.014
_cell_length_c 8.667
_cell_angle_alpha 90.00
_cell_angle_beta 90.00
_cell_angle_gamma 90.00
loop_
_atom_site_label
_atom_site_type_symbol
_atom_site_fract_x
_atom_site_fract_y
_atom_site_fract_z
_atom_site_occupancy
Pu1 Pu 0.000 0.000 0.192 1
Cu1 Cu 0.000 0.258 0.500 1
Pd1 Pd 0.000 0.500 0.000 1

=====

# Tc5P3W, relaxed, DFT GGA-PBE
# E_form	-0.171	eV/atom
data_Tc5P3W
_space_group_name_H-M_alt 'P 1 2/m 1'
_space_group_IT_number 10
_cell_length_a 7.145
_cell_length_b 4.106
_cell_length_c 8.534
_cell_angle_alpha 90.00
_cell_angle_beta 90.99
_cell_angle_gamma 90.00
loop_
_space_group_symop_operation_xyz
'x,y,z'
'-x,-y,-z'
'-x,y,-z'
'x,-y,z'
loop_
_atom_site_label
_atom_site_type_symbol
_atom_site_fract_x
_atom_site_fract_y
_atom_site_fract_z
_atom_site_occupancy
Tc1 Tc 0.160 0.000 0.256 1
Tc2 Tc 0.166 0.000 0.923 1
Tc3 Tc 0.168 0.000 0.589 1
Tc4 Tc 0.329 0.500 0.420 1
Tc5 Tc 0.335 0.500 0.091 1
P1 P 0.000 0.500 0.500 1
P2 P 0.005 0.500 0.167 1
P3 P 0.488 0.000 0.355 1
P4 P 0.500 0.000 0.000 1
W1 W 0.338 0.500 0.758 1

=====

# Na4PdRh3Se8, relaxed, DFT GGA-PBE
# formation energy without anion corrections	-0.647	eV/atom
data_Na4PdRh3Se8
_space_group_name_H-M_alt 'R -3 m'
_space_group_IT_number 166
_space_group_name_Hall '-R 3 2"'
_cell_length_a 7.6749
_cell_length_b 7.6749
_cell_length_c 19.9353
_cell_angle_alpha 90.00
_cell_angle_beta 90.00
_cell_angle_gamma 120.00
loop_
_atom_site_label
_atom_site_type_symbol
_atom_site_fract_x
_atom_site_fract_y
_atom_site_fract_z
_atom_site_occupancy
Na1 Na 0.0000 0.0000 0.0000 1
Na2 Na 0.0000 0.5000 0.0000 1
Pd1 Pd 0.0000 0.0000 0.5000 1
Rh1 Rh 0.0000 0.5000 0.5000 1
Se1 Se 0.0000 0.0000 0.2294 1
Se2 Se 0.0078 0.5039 0.7697 1

=====

# ThMnNbSi2, relaxed, DFT GGA-PBE
# formation energy without anion corrections	-0.562	eV/atom
data_ThMnNbSi2
_space_group_name_H-M_alt 'I -4 m 2'
_space_group_IT_number 119
_space_group_name_Hall 'I -4 -2'
_cell_length_a 4.066
_cell_length_b 4.066
_cell_length_c 11.202
_cell_angle_alpha 90.00
_cell_angle_beta 90.00
_cell_angle_gamma 90.00
loop_
_atom_site_label
_atom_site_type_symbol
_atom_site_fract_x
_atom_site_fract_y
_atom_site_fract_z
_atom_site_occupancy
Th1 Th 0.000 0.000 0.000 1
Mn1 Mn 0.000 0.500 0.250 1
Nb1 Nb 0.000 0.500 0.750 1
Si1 Si 0.000 0.000 0.389 1

=====

# Mn4Co3Pt, relaxed, DFT GGA-PBE
# E_form	-0.060	eV/atom
data_Mn4Co3Pt
_space_group_name_H-M_alt 'P m m m'
_space_group_IT_number 47
_cell_length_a 2.933
_cell_length_b 4.167
_cell_length_c 8.262
_cell_angle_alpha 90.00
_cell_angle_beta 90.00
_cell_angle_gamma 90.00
loop_
_space_group_symop_operation_xyz
'x,y,z'
'-x,-y,-z'
'-x,-y,z'
'x,y,-z'
'x,-y,-z'
'-x,y,z'
'-x,y,-z'
'x,-y,z'
loop_
_atom_site_label
_atom_site_type_symbol
_atom_site_fract_x
_atom_site_fract_y
_atom_site_fract_z
_atom_site_occupancy
Mn1 Mn 0.000 0.000 0.000 1
Mn2 Mn 0.000 0.000 0.500 1
Mn3 Mn 0.000 0.500 0.235 1
Co1 Co 0.500 0.000 0.247 1
Co2 Co 0.500 0.500 0.000 1
Pt1 Pt 0.500 0.500 0.500 1

=====

# Y8Ga2Cu, relaxed, DFT GGA-PBE
# E_form	-0.248	eV/atom
data_Y8Ga2Cu
_space_group_name_H-M_alt 'C 1 2/m 1'
_space_group_IT_number 12
_cell_length_a 18.413
_cell_length_b 4.979
_cell_length_c 6.662
_cell_angle_alpha 90.00
_cell_angle_beta 102.65
_cell_angle_gamma 90.00
loop_
_space_group_symop_operation_xyz
'x,y,z'
'-x,-y,-z'
'-x,y,-z'
'x,-y,z'
'x+1/2,y+1/2,z'
'-x+1/2,-y+1/2,-z'
'-x+1/2,y+1/2,-z'
'x+1/2,-y+1/2,z'
loop_
_atom_site_label
_atom_site_type_symbol
_atom_site_fract_x
_atom_site_fract_y
_atom_site_fract_z
_atom_site_occupancy
Y1 Y 0.024 0.000 0.278 1
Y2 Y 0.092 0.500 0.960 1
Y3 Y 0.156 0.500 0.476 1
Y4 Y 0.207 0.000 0.816 1
Ga1 Ga 0.188 0.000 0.253 1
Cu1 Cu 0.000 0.500 0.500 1

=====

# CaFe2Ag, relaxed, DFT GGA-PBE
# E_form	0.508	eV/atom
data_CaFe2Ag
_space_group_name_H-M_alt 'P 1 2/m 1'
_space_group_IT_number 10
_cell_length_a 2.979
_cell_length_b 4.777
_cell_length_c 5.309
_cell_angle_alpha 90.00
_cell_angle_beta 98.30
_cell_angle_gamma 90.00
loop_
_space_group_symop_operation_xyz
'x,y,z'
'-x,-y,-z'
'-x,y,-z'
'x,-y,z'
loop_
_atom_site_label
_atom_site_type_symbol
_atom_site_fract_x
_atom_site_fract_y
_atom_site_fract_z
_atom_site_occupancy
Ca1 Ca 0.000 0.000 0.000 1
Fe1 Fe 0.289 0.500 0.680 1
Ag1 Ag 0.500 0.000 0.500 1

=====

# NdZn2Ge, relaxed, DFT GGA-PBE
# E_form	-0.469	eV/atom
data_NdZn2Ge
_space_group_name_H-M_alt 'C m c m'
_space_group_IT_number 63
_space_group_name_Hall '-C 2c 2'
_cell_length_a 4.299
_cell_length_b 16.767
_cell_length_c 8.953
_cell_angle_alpha 90.00
_cell_angle_beta 90.00
_cell_angle_gamma 90.00
loop_
_atom_site_label
_atom_site_type_symbol
_atom_site_fract_x
_atom_site_fract_y
_atom_site_fract_z
_atom_site_occupancy
Nd1 Nd 0.000 0.000 0.000 1
Nd2 Nd 0.000 0.202 0.250 1
Zn1 Zn 0.000 0.185 0.611 1
Zn2 Zn 0.000 0.408 0.250 1
Zn3 Zn 0.000 0.446 0.750 1
Ge1 Ge 0.000 0.354 0.525 1

=====

VASP energy per entry: -25.01, -70.83, -31.57, -82.97, -85.59, -165.10, -212.26, -80.63, -64.52, -129.17, -19.75, -110.47 eV/cell
Total magnetic moment per entry: 3.2, 4.6, 2.7, 0.0, 23.6, 0.0, 0.0, 4.1, 17.1, 0.0, 5.2, 0.0 μB per cell